The following is a PBEsol calculation of a relaxed structure of YTeN2, from the Alexandria database.

abc: 4.936 4.936 6.828
angles: 111.19 111.19 90.00
Fractional coordinates of all 8 atoms:
Y  0.500  0.500  0.000
Y  0.750  0.250  0.500
N  0.625  0.628  0.750
N  0.125  0.122  0.750
N  0.372  0.875  0.250
N  0.878  0.375  0.250
Te  0.250  0.750  0.500
Te  0.000  0.000  0.000

Electronic total energy ... -6.98 eV per atom
Spin magnetization ... 0.00 μB per cell
D(E_F) ... 2.93 states/eV per cell

The following is a PBEsol calculation of a relaxed structure of YZnTe2N, from the Alexandria database.

abc: 3.802 5.419 5.419
angles: 90.00 90.00 90.00
Each line ends with the local moment (μB).
Fractional coordinates of all 5 atoms:
Y  0.500  0.500  0.500  -0.02
Zn  0.000  0.000  0.000  0.05
Te  0.000  0.000  0.500  0.12
Te  0.000  0.500  0.000  0.12
N  0.500  0.000  0.000  0.86

Electronic total energy ... -4.73 eV per atom
Spin magnetization ... 1.60 μB per cell
D(E_F) ... 3.10 states/eV per cell

The following is a PBEsol calculation of a relaxed structure of YZn2TeN, from the Alexandria database.

abc: 5.636 5.831 5.831
angles: 90.00 90.00 90.00
Each line ends with the local moment (μB).
Fractional coordinates of all 5 atoms:
Zn  0.000  0.000  0.500  -0.03
Zn  0.000  0.500  0.000  -0.03
Y  0.000  0.000  0.000  -0.17
N  0.500  0.500  0.500  1.83
Te  0.500  0.000  0.000  0.05

Electronic total energy ... -3.06 eV per atom
Spin magnetization ... 2.43 μB per cell
D(E_F) ... 2.52 states/eV per cell

The following is a PBEsol calculation of a relaxed structure of ZnTeN2, from the Alexandria database.

abc: 3.473 3.473 6.237
angles: 73.83 73.83 60.00
Fractional coordinates of all 4 atoms:
Zn  0.000  0.000  0.000
N  0.103  0.103  0.692
N  0.897  0.897  0.308
Te  0.500  0.500  0.500

Electronic total energy ... -4.85 eV per atom
Spin magnetization ... 0.00 μB per cell
D(E_F) ... 0.91 states/eV per cell

The following is a PBEsol calculation of a relaxed structure of ZnTeN3, from the Alexandria database.

abc: 3.953 3.953 3.953
angles: 90.00 90.00 90.00
Fractional coordinates of all 5 atoms:
N  0.000  0.000  0.500
N  0.000  0.500  0.000
N  0.500  0.000  0.000
Te  0.000  0.000  0.000
Zn  0.500  0.500  0.500

Electronic total energy ... -4.58 eV per atom
Spin magnetization ... 0.00 μB per cell
D(E_F) ... 3.05 states/eV per cell

The following is a PBEsol calculation of a relaxed structure of ZrTeN3, from the Alexandria database.

abc: 4.190 4.190 4.190
angles: 90.00 90.00 90.00
Each line ends with the local moment (μB).
Fractional coordinates of all 5 atoms:
Te  0.500  0.500  0.500  -0.05
N  0.000  0.000  0.500  0.30
N  0.500  0.000  0.000  0.30
N  0.000  0.500  0.000  0.30
Zr  0.000  0.000  0.000  -0.01

Electronic total energy ... -6.92 eV per atom
Spin magnetization ... 1.16 μB per cell
D(E_F) ... 4.34 states/eV per cell

The following is a PBEsol calculation of a relaxed structure of ThN, from the Alexandria database.

abc: 3.625 3.625 3.625
angles: 60.00 60.00 60.00
Fractional coordinates of all 2 atoms:
Th  0.000  0.000  0.000
N  0.500  0.500  0.500

Electronic total energy ... -10.04 eV per atom
Spin magnetization ... 0.00 μB per cell
D(E_F) ... 0.86 states/eV per cell

The following is a PBEsol calculation of a relaxed structure of Ti8N5, from the Alexandria database.

abc: 4.160 4.160 8.523
angles: 90.00 90.00 90.00
Fractional coordinates of all 13 atoms:
Ti  0.000  0.500  0.016
Ti  0.000  0.000  0.745
Ti  0.000  0.000  0.255
Ti  0.000  0.500  0.486
Ti  0.500  0.000  0.984
Ti  0.500  0.000  0.514
Ti  0.500  0.500  0.759
Ti  0.500  0.500  0.241
N  0.000  0.000  0.500
N  0.000  0.000  0.000
N  0.500  0.500  0.000
N  0.000  0.500  0.250
N  0.500  0.000  0.750

Electronic total energy ... -9.99 eV per atom
Spin magnetization ... 0.00 μB per cell
D(E_F) ... 6.93 states/eV per cell